Record 1
## NaFeCuSe3 (PBE-GGA)

Data for a geometry-optimized NaFeCuSe3 structure.

Values from the calculation:
crystal system: orthorhombic
total energy: -105.16 eV for the cell shown
volume: 19.51 Å³ per atom
energy above the most stable polymorph in this dataset: 0.0 meV/atom

Cell: 13.1455 3.6648 9.7198 Å, 90.00 90.00 90.00°
With the nearest neighbours (Å) after each atom.
Positions (direct):
Na: 0.2282 0.2500 0.0521  7 Se 3.07-3.22, 2 Cu 3.37
Na: 0.2718 0.7500 0.5521  7 Se 3.07-3.22, 2 Cu 3.37
Na: 0.7282 0.2500 0.4479  7 Se 3.07-3.22, 2 Cu 3.37
Na: 0.7718 0.7500 0.9479  7 Se 3.07-3.22, 2 Cu 3.37
Fe: 0.0139 0.2500 0.3313  6 Se 2.44-2.47
Fe: 0.4861 0.7500 0.8313  6 Se 2.44-2.47
Fe: 0.5139 0.2500 0.1687  6 Se 2.44-2.47
Fe: 0.9861 0.7500 0.6687  6 Se 2.44-2.47
Cu: 0.0149 0.7500 0.0931  4 Se 2.38-2.52, 2 Cu 2.61
Cu: 0.4851 0.2500 0.5931  4 Se 2.38-2.52, 2 Cu 2.61
Cu: 0.5149 0.7500 0.4069  4 Se 2.38-2.52, 2 Cu 2.61
Cu: 0.9851 0.2500 0.9069  4 Se 2.38-2.52, 2 Cu 2.61
Se: 0.0828 0.2500 0.5653  3 Fe 2.45
Se: 0.1034 0.7500 0.8630  1 Fe 2.44, 3 Cu 2.44-2.52
Se: 0.1339 0.7500 0.2778  1 Cu 2.38, 2 Fe 2.47
Se: 0.3661 0.2500 0.7778  1 Cu 2.38, 2 Fe 2.47
Se: 0.3966 0.2500 0.3630  1 Fe 2.44, 3 Cu 2.44-2.52
Se: 0.4172 0.7500 0.0653  3 Fe 2.45
Se: 0.5828 0.2500 0.9347  3 Fe 2.45
Se: 0.6034 0.7500 0.6370  1 Fe 2.44, 3 Cu 2.44-2.52
Se: 0.6339 0.7500 0.2222  1 Cu 2.38, 2 Fe 2.47
Se: 0.8661 0.2500 0.7222  1 Cu 2.38, 2 Fe 2.47
Se: 0.8966 0.2500 0.1370  1 Fe 2.44, 3 Cu 2.44-2.52
Se: 0.9172 0.7500 0.4347  3 Fe 2.45

=====

Record 2
## NaFeCuSe3 (PBE-GGA)

Data for a geometry-optimized NaFeCuSe3 structure.

Values from the calculation:
crystal system: monoclinic
total energy: -52.55 eV for the cell shown
volume: 19.59 Å³ per atom
energy above the most stable polymorph in this dataset: 2.4 meV/atom

Cell: 7.3600 3.6550 9.2806 Å, 90.00 109.66 90.00°
With the nearest neighbours (Å) after each atom.
Positions (direct):
Na: 0.2457 0.2500 0.2070  7 Se 3.10-3.27, 2 Cu 3.41
Na: 0.7543 0.7500 0.7930  7 Se 3.10-3.27, 2 Cu 3.41
Fe: 0.1883 0.7500 0.6585  6 Se 2.44-2.46
Fe: 0.8117 0.2500 0.3415  6 Se 2.44-2.46
Cu: 0.4270 0.2500 0.8961  4 Se 2.37-2.52, 2 Cu 2.61
Cu: 0.5730 0.7500 0.1039  4 Se 2.37-2.52, 2 Cu 2.61
Se: 0.0460 0.7500 0.3797  3 Fe 2.44-2.46
Se: 0.2256 0.7500 0.9321  3 Cu 2.45-2.52, 1 Fe 2.46
Se: 0.3992 0.2500 0.6342  1 Cu 2.37, 2 Fe 2.46
Se: 0.6008 0.7500 0.3658  1 Cu 2.37, 2 Fe 2.46
Se: 0.7744 0.2500 0.0679  3 Cu 2.45-2.52, 1 Fe 2.46
Se: 0.9540 0.2500 0.6203  3 Fe 2.44-2.46

=====

Q: What is the total energy in the second record?
A: -52.55 eV for the cell shown